Record 1
# TlZnI3, relaxed, DFT PBE
data_TlZnI3
_chemical_formula_sum 'Tl1 Zn1 I3'
_cell_length_a 6.069
_cell_length_b 6.069
_cell_length_c 6.069
_cell_angle_alpha 90.00
_cell_angle_beta 90.00
_cell_angle_gamma 90.00
_symmetry_space_group_name_H-M 'P m -3 m'
_symmetry_Int_Tables_number 221
_symmetry_space_group_name_Hall '-P 4 2 3'
loop_
_atom_site_label
_atom_site_fract_x
_atom_site_fract_y
_atom_site_fract_z
Tl1 0.000 0.000 0.000
Zn1 0.500 0.500 0.500
I1 0.000 0.000 0.500
# - E_form (uncorrected): 0.39 eV/f.u.
# - Polymorph energy (0 for the lowest one): 682 meV/atom

Record 2
# TlCdAgBr4, relaxed, DFT PBE
data_TlCdAgBr4
_chemical_formula_sum 'Tl2 Cd2 Ag2 Br8'
_cell_length_a 7.106
_cell_length_b 7.910
_cell_length_c 8.755
_cell_angle_alpha 90.00
_cell_angle_beta 101.60
_cell_angle_gamma 90.00
_symmetry_space_group_name_H-M 'P 1 21/m 1'
_symmetry_Int_Tables_number 11
loop_
_symmetry_equiv_pos_as_xyz
'x,y,z'
'-x,-y,-z'
'-x,y+1/2,-z'
'x,-y+1/2,z'
loop_
_atom_site_label
_atom_site_fract_x
_atom_site_fract_y
_atom_site_fract_z
Tl1 0.208 0.250 0.061
Cd1 0.219 0.750 0.335
Ag1 0.289 0.250 0.662
Br1 0.039 0.004 0.731
Br2 0.393 0.750 0.089
Br3 0.488 0.250 0.430
# - E_form (uncorrected): -4.72 eV/f.u.

Record 3
# EuUH2, relaxed, DFT PBE
data_EuUH2
_chemical_formula_sum 'Eu3 U3 H6'
_cell_length_a 3.4279
_cell_length_b 3.4279
_cell_length_c 20.1083
_cell_angle_alpha 90.00
_cell_angle_beta 90.00
_cell_angle_gamma 120.00
_symmetry_space_group_name_H-M 'R -3 m'
_symmetry_Int_Tables_number 166
_symmetry_space_group_name_Hall '-R 3 2"'
loop_
_atom_site_label
_atom_site_fract_x
_atom_site_fract_y
_atom_site_fract_z
Eu1 0.0000 0.0000 0.0000
U1 0.0000 0.0000 0.5000
H1 0.0000 0.0000 0.3904
# - Energy: -84.8 eV/cell

Record 4
# Nd5ZnBi2, relaxed, DFT PBE
data_Nd5ZnBi2
_chemical_formula_sum 'Nd20 Zn4 Bi8'
_cell_length_a 6.020
_cell_length_b 12.044
_cell_length_c 14.486
_cell_angle_alpha 90.00
_cell_angle_beta 90.00
_cell_angle_gamma 90.00
_symmetry_space_group_name_H-M 'C m c m'
_symmetry_Int_Tables_number 63
_symmetry_space_group_name_Hall '-C 2c 2'
loop_
_atom_site_label
_atom_site_fract_x
_atom_site_fract_y
_atom_site_fract_z
Nd1 0.000 0.074 0.107
Nd2 0.000 0.375 0.054
Nd3 0.000 0.414 0.750
Zn1 0.000 0.288 0.250
Bi1 0.000 0.195 0.619
# - Formation energy: -0.26 eV per atom

Record 5
# PmYTmAl, relaxed, DFT PBE
data_PmYTmAl
_chemical_formula_sum 'Pm4 Y4 Tm4 Al4'
_cell_length_a 7.604
_cell_length_b 7.604
_cell_length_c 7.604
_cell_angle_alpha 90.00
_cell_angle_beta 90.00
_cell_angle_gamma 90.00
_symmetry_space_group_name_H-M 'F -4 3 m'
_symmetry_Int_Tables_number 216
_symmetry_space_group_name_Hall 'F -4 2 3'
loop_
_atom_site_label
_atom_site_fract_x
_atom_site_fract_y
_atom_site_fract_z
Pm1 0.000 0.000 0.000
Y1 0.000 0.000 0.500
Tm1 0.250 0.250 0.250
Al1 0.250 0.250 0.750
# - Formation energy: -0.08 eV per atom
# - Polymorph energy (0 for the lowest one): 128 meV/atom

Record 6
# Li3SmNi8, relaxed, DFT PBE
data_Li3SmNi8
_chemical_formula_sum 'Li9 Sm3 Ni24'
_cell_length_a 4.8354
_cell_length_b 4.8354
_cell_length_c 23.7036
_cell_angle_alpha 90.00
_cell_angle_beta 90.00
_cell_angle_gamma 120.00
_symmetry_space_group_name_H-M 'R 3 m'
_symmetry_Int_Tables_number 160
_symmetry_space_group_name_Hall 'R 3 -2"'
loop_
_atom_site_label
_atom_site_fract_x
_atom_site_fract_y
_atom_site_fract_z
Li1 0.0000 0.0000 0.0000
Li2 0.0000 0.0000 0.1141
Li3 0.0000 0.0000 0.6320
Sm1 0.0000 0.0000 0.5013
Ni1 0.0000 0.0000 0.3142
Ni2 0.0000 0.0000 0.8130
Ni3 0.0019 0.5009 0.5667
Ni4 0.1679 0.3357 0.3949
# - Formation energy: -0.16 eV per atom

Record 7
# GaReSi2Ni, relaxed, DFT PBE
data_GaReSi2Ni
_chemical_formula_sum 'Ga1 Re1 Si2 Ni1'
_cell_length_a 4.518
_cell_length_b 4.518
_cell_length_c 4.669
_cell_angle_alpha 90.00
_cell_angle_beta 90.00
_cell_angle_gamma 90.00
_symmetry_space_group_name_H-M 'P 4/m m m'
_symmetry_Int_Tables_number 123
_symmetry_space_group_name_Hall '-P 4 2'
loop_
_atom_site_label
_atom_site_fract_x
_atom_site_fract_y
_atom_site_fract_z
Ga1 0.000 0.000 0.000
Re1 0.000 0.000 0.500
Si1 0.000 0.500 0.000
Ni1 0.500 0.500 0.500
# - E_form (uncorrected): 8.70 eV/f.u.

Record 8
# MgPdNO2, relaxed, DFT PBE
data_MgPdNO2
_chemical_formula_sum 'Mg1 Pd1 N1 O2'
_cell_length_a 4.136
_cell_length_b 4.136
_cell_length_c 3.663
_cell_angle_alpha 90.00
_cell_angle_beta 90.00
_cell_angle_gamma 90.00
_symmetry_space_group_name_H-M 'P 4/m m m'
_symmetry_Int_Tables_number 123
_symmetry_space_group_name_Hall '-P 4 2'
loop_
_atom_site_label
_atom_site_fract_x
_atom_site_fract_y
_atom_site_fract_z
Mg1 0.000 0.000 0.000
Pd1 0.500 0.500 0.500
N1 0.500 0.500 0.000
O1 0.000 0.500 0.500
# - E_form (uncorrected): 0.39 eV/f.u.

Record 9
# BaSb2CN, relaxed, DFT PBE
data_BaSb2CN
_chemical_formula_sum 'Ba1 Sb2 C1 N1'
_cell_length_a 4.502
_cell_length_b 4.502
_cell_length_c 5.975
_cell_angle_alpha 90.00
_cell_angle_beta 90.00
_cell_angle_gamma 90.00
_symmetry_space_group_name_H-M 'P 4/m m m'
_symmetry_Int_Tables_number 123
_symmetry_space_group_name_Hall '-P 4 2'
loop_
_atom_site_label
_atom_site_fract_x
_atom_site_fract_y
_atom_site_fract_z
Ba1 0.000 0.000 0.000
Sb1 0.000 0.500 0.500
C1 0.000 0.000 0.500
N1 0.500 0.500 0.000
# - E_form (uncorrected): 5.87 eV/f.u.

Record 10
# Sr4Zn3Ag, relaxed, DFT PBE
data_Sr4Zn3Ag
_chemical_formula_sum 'Sr4 Zn3 Ag1'
_cell_length_a 4.539
_cell_length_b 4.650
_cell_length_c 12.117
_cell_angle_alpha 90.00
_cell_angle_beta 90.00
_cell_angle_gamma 90.00
_symmetry_space_group_name_H-M 'P m m 2'
_symmetry_Int_Tables_number 25
loop_
_symmetry_equiv_pos_as_xyz
'x,y,z'
'-x,-y,z'
'-x,y,z'
'x,-y,z'
loop_
_atom_site_label
_atom_site_fract_x
_atom_site_fract_y
_atom_site_fract_z
Sr1 0.000 0.000 0.000
Sr2 0.000 0.500 0.286
Sr3 0.500 0.000 0.500
Sr4 0.500 0.500 0.786
Zn1 0.000 0.000 0.702
Zn2 0.000 0.500 0.583
Zn3 0.500 0.500 0.080
Ag1 0.500 0.000 0.206
# - Formation energy: -0.23 eV per atom

Record 11
# LiAgPd2Cl, relaxed, DFT PBE
data_LiAgPd2Cl
_chemical_formula_sum 'Li1 Ag1 Pd2 Cl1'
_cell_length_a 4.551
_cell_length_b 4.551
_cell_length_c 4.235
_cell_angle_alpha 90.00
_cell_angle_beta 90.00
_cell_angle_gamma 90.00
_symmetry_space_group_name_H-M 'P 4/m m m'
_symmetry_Int_Tables_number 123
_symmetry_space_group_name_Hall '-P 4 2'
loop_
_atom_site_label
_atom_site_fract_x
_atom_site_fract_y
_atom_site_fract_z
Li1 0.000 0.000 0.000
Ag1 0.500 0.500 0.500
Pd1 0.000 0.500 0.000
Cl1 0.000 0.000 0.500
# - E_form (uncorrected): 1.08 eV/f.u.
# - Polymorph energy (0 for the lowest one): 0 meV/atom

Record 12
# Tb3Ge8Rh3, relaxed, DFT PBE
data_Tb3Ge8Rh3
_chemical_formula_sum 'Tb6 Ge16 Rh6'
_cell_length_a 15.993
_cell_length_b 4.433
_cell_length_c 8.596
_cell_angle_alpha 90.00
_cell_angle_beta 120.00
_cell_angle_gamma 90.00
_symmetry_space_group_name_H-M 'C 1 2/m 1'
_symmetry_Int_Tables_number 12
loop_
_symmetry_equiv_pos_as_xyz
'x,y,z'
'-x,-y,-z'
'-x,y,-z'
'x,-y,z'
'x+1/2,y+1/2,z'
'-x+1/2,-y+1/2,-z'
'-x+1/2,y+1/2,-z'
'x+1/2,-y+1/2,z'
loop_
_atom_site_label
_atom_site_fract_x
_atom_site_fract_y
_atom_site_fract_z
Tb1 0.000 0.000 0.000
Tb2 0.214 0.500 0.688
Ge1 0.017 0.500 0.693
Ge2 0.126 0.000 0.412
Ge3 0.138 0.500 0.272
Ge4 0.164 0.000 0.884
Rh1 0.000 0.000 0.500
Rh2 0.155 0.500 0.008
# - Formation energy: -0.60 eV per atom

Copy entry 3 word for word.
# EuUH2, relaxed, DFT PBE
data_EuUH2
_chemical_formula_sum 'Eu3 U3 H6'
_cell_length_a 3.4279
_cell_length_b 3.4279
_cell_length_c 20.1083
_cell_angle_alpha 90.00
_cell_angle_beta 90.00
_cell_angle_gamma 120.00
_symmetry_space_group_name_H-M 'R -3 m'
_symmetry_Int_Tables_number 166
_symmetry_space_group_name_Hall '-R 3 2"'
loop_
_atom_site_label
_atom_site_fract_x
_atom_site_fract_y
_atom_site_fract_z
Eu1 0.0000 0.0000 0.0000
U1 0.0000 0.0000 0.5000
H1 0.0000 0.0000 0.3904
# - Energy: -84.8 eV/cell